Record 1
DFT (PBE) results for LiDyHoSn after structural relaxation.

abc: 7.3546 7.3546 7.3546
angles: 90.00 90.00 90.00
With the nearest neighbours (Å) after each atom.
Space group F-43m (No. 216)
Inequivalent atoms, fractional coordinates:
Li 0.0000 0.0000 0.0000 [4 per cell]  4 Dy 3.18, 4 Ho 3.18
Dy 0.2500 0.2500 0.2500 [4 per cell]  4 Sn 3.18, 4 Li 3.18
Ho 0.2500 0.2500 0.7500 [4 per cell]  4 Sn 3.18, 4 Li 3.18
Sn 0.0000 0.0000 0.5000 [4 per cell]  4 Dy 3.18, 4 Ho 3.18

Results
Calculated formation energy ... -404.8 meV/atom
Density of states at the Fermi level ... 0.78 states/eV per atom


Record 2
DFT (PBE) results for NaZnS after structural relaxation.

abc: 4.0499 5.0071 14.0299
angles: 90.00 90.00 90.00
With the nearest neighbours (Å) after each atom.
Space group Immm (No. 71)
Inequivalent atoms, fractional coordinates:
Na 0.0000 0.0000 0.1654 [4 per cell]  1 S 2.77
Zn 0.0000 0.2644 0.5000 [4 per cell]  2 S 2.34, 1 Zn 2.36
S 0.0000 0.0000 0.3628 [4 per cell]  2 Zn 2.34

Results
Energy relative to the elements, uncorrected ... -0.63 eV/atom
Density of states at the Fermi level ... 0.01 states/eV per atom


Record 3
DFT (PBE) results for Ba2TiAuBr after structural relaxation.

abc: 6.3242 6.3242 5.5461
angles: 90.00 90.00 90.00
With the nearest neighbours (Å) after each atom.
Space group P4/mmm (No. 123)
Inequivalent atoms, fractional coordinates:
Ba 0.0000 0.5000 0.0000 [2 per cell]  2 Au 3.16
Ti 0.0000 0.0000 0.5000 [1 per cell]  8 Ba 4.21, 4 Br 4.47
Au 0.5000 0.5000 0.0000 [1 per cell]  2 Br 2.77
Br 0.5000 0.5000 0.5000 [1 per cell]  2 Au 2.77

Results
Energy relative to the elements, uncorrected ... 0.25 eV/atom
Density of states at the Fermi level ... 0.60 states/eV per atom


Record 4
DFT (PBE) results for ZnInTe2 after structural relaxation.

abc: 4.2427 4.2427 20.9061
angles: 90.00 90.00 120.00
With the nearest neighbours (Å) after each atom.
Space group R-3m (No. 166, hexagonal axes)
Inequivalent atoms, fractional coordinates:
Zn 0.0000 0.0000 0.0000 [3 per cell]  6 Te 2.92
In 0.0000 0.0000 0.5000 [3 per cell]  6 Te 3.10
Te 0.0000 0.0000 0.2575 [6 per cell]  3 Zn 2.92, 3 In 3.10

Results
Energy relative to the elements, uncorrected ... -0.26 eV/atom
Density of states at the Fermi level ... 0.28 states/eV per atom


Record 5
DFT (PBE) results for Ce3PrPu2Te6 after structural relaxation.

abc: 7.7100 13.3548 7.8394
angles: 90.00 109.14 90.00
With the nearest neighbours (Å) after each atom.
Space group C2/m (No. 12)
Inequivalent atoms, fractional coordinates:
Ce 0.0000 0.0000 0.0000 [2 per cell]  6 Te 3.15-3.19
Ce 0.0000 0.3362 0.0000 [4 per cell]  6 Te 3.17-3.19
Pr 0.0000 0.5000 0.5000 [2 per cell]  6 Te 3.18-3.19
Pu 0.0000 0.1672 0.5000 [4 per cell]  6 Te 3.14
Te 0.2430 0.0000 0.7454 [4 per cell]  2 Pu 3.14, 3 Ce 3.15-3.18, 1 Pr 3.18
Te 0.2479 0.1692 0.2519 [8 per cell]  2 Pu 3.14, 3 Ce 3.17-3.19, 1 Pr 3.19

Results
Energy relative to the elements, uncorrected ... -1.29 eV/atom
Density of states at the Fermi level ... 3.46 states/eV per atom


Record 6
DFT (PBE) results for CoSiW2 after structural relaxation.

abc: 2.7718 2.7718 25.5220
angles: 90.00 90.00 120.00
With the nearest neighbours (Å) after each atom.
Space group R-3m (No. 166, hexagonal axes)
Inequivalent atoms, fractional coordinates:
Co 0.0000 0.0000 0.0000 [3 per cell]  6 W 2.63, 6 Co 2.77
Si 0.0000 0.0000 0.5000 [3 per cell]  6 W 2.69, 6 Si 2.77
W 0.0000 0.0000 0.2515 [6 per cell]  3 Co 2.63, 3 Si 2.69, 6 W 2.77

Results
Energy relative to the elements, uncorrected ... 0.21 eV/atom
Density of states at the Fermi level ... 1.14 states/eV per atom


Record 7
DFT (PBE) results for LaTaTe2 after structural relaxation.

abc: 10.6692 3.7184 5.6741
angles: 90.00 106.03 90.00
With the nearest neighbours (Å) after each atom.
Space group Cm (No. 8)
Inequivalent atoms, fractional coordinates:
La 0.0000 0.0000 0.0000 [2 per cell]  7 Te 3.12-3.49
Ta 0.2561 0.5000 0.4355 [2 per cell]  5 Te 2.87-3.16
Te 0.2499 0.0000 0.8173 [2 per cell]  2 Ta 2.87, 3 La 3.12-3.18
Te 0.4644 0.0000 0.4656 [2 per cell]  3 Ta 2.87-3.16

Results
Energy relative to the elements, uncorrected ... -0.40 eV/atom
Density of states at the Fermi level ... 0.93 states/eV per atom
Energy above the most stable polymorph in this dataset ... 0.55 eV per formula unit


Record 8
DFT (PBE) results for PmSm2HoTm after structural relaxation.

abc: 8.4234 11.5261 7.2395
angles: 90.00 90.00 90.00
With the nearest neighbours (Å) after each atom.
Space group Cmcm (No. 63)
Inequivalent atoms, fractional coordinates:
Pm 0.0000 0.2269 0.2500 [4 per cell]  1 Tm 3.10
Sm 0.1935 0.0000 0.0000 [8 per cell]  2 Tm 3.15, 1 Sm 3.26
Ho 0.0000 0.2287 0.7500 [4 per cell]  1 Tm 3.17
Tm 0.0000 0.4959 0.2500 [4 per cell]  1 Pm 3.10, 4 Sm 3.15, 1 Ho 3.17

Results
Calculated formation energy ... 390.7 meV/atom
Density of states at the Fermi level ... 1.39 states/eV per atom


Record 9
DFT (PBE) results for Er13Cd2 after structural relaxation.

abc: 6.5997 8.4794 8.7816
angles: 66.52 79.06 82.03
With the nearest neighbours (Å) after each atom.
Space group P-1 (No. 2)
Inequivalent atoms, fractional coordinates:
Er 0.0000 0.0000 0.0000 [1 per cell]  2 Cd 3.20, 6 Er 3.29-3.52
Er 0.1222 0.4797 0.7396 [2 per cell]  2 Cd 3.13-3.18, 7 Er 3.34-3.48
Er 0.2017 0.2302 0.1513 [2 per cell]  11 Er 3.29-3.62
Er 0.2500 0.9407 0.5782 [2 per cell]  2 Cd 3.09-3.19, 2 Er 3.39-3.45
Er 0.3037 0.6562 0.9726 [2 per cell]  11 Er 3.37-3.69
Er 0.3688 0.4116 0.3893 [2 per cell]  2 Cd 3.31-3.37, 10 Er 3.42-3.69
Er 0.4933 0.1429 0.7965 [2 per cell]  1 Cd 3.11, 3 Er 3.42-3.44
Cd 0.0596 0.7660 0.3801 [2 per cell]  8 Er 3.09-3.37

Results
Calculated formation energy ... -37.3 meV/atom
Density of states at the Fermi level ... 1.52 states/eV per atom


Record 10
DFT (PBE) results for Pa2Pd2Se7 after structural relaxation.

abc: 7.0613 12.8356 6.7317
angles: 90.00 99.78 90.00
With the nearest neighbours (Å) after each atom.
Space group C2/m (No. 12)
Inequivalent atoms, fractional coordinates:
Pa 0.0000 0.1690 0.0000 [4 per cell]  6 Se 2.75-2.86
Pd 0.1921 0.0000 0.6863 [4 per cell]  4 Se 2.53-2.69
Se 0.0000 0.5000 0.5000 [2 per cell]  2 Se 2.67, 2 Pd 2.69
Se 0.1646 0.0000 0.2484 [4 per cell]  2 Pd 2.63-2.92, 1 Se 2.67, 2 Pa 2.86
Se 0.2227 0.3104 0.2420 [8 per cell]  1 Pd 2.53, 2 Pa 2.75-2.76

Results
Energy relative to the elements, uncorrected ... -0.79 eV/atom
Density of states at the Fermi level ... 0.41 states/eV per atom
Energy above the most stable polymorph in this dataset ... 0.70 eV per formula unit


Record 11
DFT (PBE) results for TaBeW2 after structural relaxation.

abc: 9.0003 3.2602 4.4971
angles: 90.00 111.95 90.00
With the nearest neighbours (Å) after each atom.
Space group Cm (No. 8)
Inequivalent atoms, fractional coordinates:
Ta 0.0000 0.0000 0.0000 [2 per cell]  3 Be 2.68-2.87, 7 W 2.71-2.85
Be 0.2475 0.0000 0.7433 [2 per cell]  7 W 2.59-2.86, 3 Ta 2.68-2.87
W 0.0076 0.5000 0.5249 [2 per cell]  3 Be 2.59-2.86, 2 W 2.65, 4 Ta 2.71-2.85
W 0.2598 0.5000 0.2646 [2 per cell]  3 W 2.65-2.92, 3 Ta 2.73-2.83, 4 Be 2.74-2.82

Results
Calculated formation energy ... 209.0 meV/atom
Density of states at the Fermi level ... 0.63 states/eV per atom


Record 12
DFT (PBE) results for Cs2KSbCl6 after structural relaxation.

abc: 11.3842 11.3842 11.3842
angles: 90.00 90.00 90.00
With the nearest neighbours (Å) after each atom.
Space group Fm-3m (No. 225)
Inequivalent atoms, fractional coordinates:
Cs 0.2500 0.2500 0.2500 [8 per cell]  12 Cl 4.03
K 0.0000 0.0000 0.0000 [4 per cell]  6 Cl 3.03
Sb 0.0000 0.0000 0.5000 [4 per cell]  6 Cl 2.67
Cl 0.0000 0.0000 0.2659 [24 per cell]  1 Sb 2.67

Results
Energy relative to the elements, uncorrected ... -1.58 eV/atom
Density of states at the Fermi level ... 0.00 states/eV per atom


Record 13
DFT (PBE) results for Pa5Pt3Se12 after structural relaxation.

abc: 16.3132 16.3132 16.3132
angles: 90.00 90.00 90.00
With the nearest neighbours (Å) after each atom.
Space group Ia-3d (No. 230)
Inequivalent atoms, fractional coordinates:
Pa 0.0000 0.0000 0.0000 [16 per cell]  6 Se 2.80
Pa 0.0000 0.2500 0.3750 [24 per cell]  4 Se 2.72
Pt 0.0000 0.2500 0.1250 [24 per cell]  4 Se 2.71
Se 0.0300 0.0876 0.6444 [96 per cell]  1 Pt 2.71, 2 Pa 2.72-2.80

Results
Energy relative to the elements, uncorrected ... -0.46 eV/atom
Density of states at the Fermi level ... 0.85 states/eV per atom


Record 14
DFT (PBE) results for RbZr2Os after structural relaxation.

abc: 6.6355 6.6355 15.0247
angles: 90.00 90.00 90.00
With the nearest neighbours (Å) after each atom.
Space group I4_1/amd (No. 141, origin choice 2)
Inequivalent atoms, fractional coordinates:
Rb 0.0000 0.2500 0.3750 [4 per cell]  8 Zr 4.16
Zr 0.0000 0.0000 0.0000 [8 per cell]  2 Os 2.51
Os 0.0000 0.2500 0.8750 [4 per cell]  4 Zr 2.51

Results
Calculated formation energy ... 1153.5 meV/atom
Density of states at the Fermi level ... 1.50 states/eV per atom
Energy above the most stable polymorph in this dataset ... 1.15 eV per formula unit


Record 15
DFT (PBE) results for Be3NiPt after structural relaxation.

abc: 4.1658 4.1658 4.1658
angles: 90.00 90.00 90.00
With the nearest neighbours (Å) after each atom.
Space group Pm-3m (No. 221)
Inequivalent atoms, fractional coordinates:
Be 0.0000 0.0000 0.5000 [3 per cell]  2 Pt 2.08
Ni 0.5000 0.5000 0.5000 [1 per cell]  12 Be 2.95
Pt 0.0000 0.0000 0.0000 [1 per cell]  6 Be 2.08

Results
Calculated formation energy ... 442.4 meV/atom
Density of states at the Fermi level ... 0.28 states/eV per atom
Energy above the most stable polymorph in this dataset ... 0.96 eV per formula unit


Record 16
DFT (PBE) results for BaDyMg2 after structural relaxation.

abc: 8.0980 8.0980 8.0980
angles: 90.00 90.00 90.00
With the nearest neighbours (Å) after each atom.
Space group Fm-3m (No. 225)
Inequivalent atoms, fractional coordinates:
Ba 0.0000 0.0000 0.0000 [4 per cell]  8 Mg 3.51
Dy 0.0000 0.0000 0.5000 [4 per cell]  8 Mg 3.51
Mg 0.2500 0.2500 0.2500 [8 per cell]  4 Dy 3.51, 4 Ba 3.51

Results
Calculated formation energy ... 53.3 meV/atom
Density of states at the Fermi level ... 1.14 states/eV per atom
Energy above the most stable polymorph in this dataset ... 0.31 eV per formula unit


Record 17
DFT (PBE) results for ZnOsSe2 after structural relaxation.

abc: 6.9845 3.3013 7.0995
angles: 90.00 109.96 90.00
With the nearest neighbours (Å) after each atom.
Space group C2/m (No. 12)
Inequivalent atoms, fractional coordinates:
Zn 0.0000 0.0000 0.0000 [2 per cell]  4 Se 2.71
Os 0.0000 0.5000 0.5000 [2 per cell]  6 Se 2.52-2.56
Se 0.2298 0.5000 0.2930 [4 per cell]  3 Os 2.52-2.56, 2 Zn 2.71

Results
Energy relative to the elements, uncorrected ... 0.15 eV/atom
Density of states at the Fermi level ... 0.22 states/eV per atom


Record 18
DFT (PBE) results for SrHfHg after structural relaxation.

abc: 3.7289 3.7289 12.4898
angles: 90.00 90.00 90.00
With the nearest neighbours (Å) after each atom.
Space group P4/mmm (No. 123)
Inequivalent atoms, fractional coordinates:
Sr 0.0000 0.0000 0.1750 [2 per cell]  4 Hg 3.42, 4 Hf 3.69, 4 Sr 3.73
Hf 0.5000 0.5000 0.3818 [2 per cell]  1 Hf 2.95, 4 Hg 3.02
Hg 0.0000 0.0000 0.5000 [1 per cell]  8 Hf 3.02
Hg 0.5000 0.5000 0.0000 [1 per cell]  8 Sr 3.42, 4 Hg 3.73

Results
Calculated formation energy ... 147.9 meV/atom
Density of states at the Fermi level ... 1.13 states/eV per atom
Energy above the most stable polymorph in this dataset ... 0.49 eV per formula unit


Record 19
DFT (PBE) results for SrAc2PdO5 after structural relaxation.

abc: 7.0993 7.0993 5.9781
angles: 90.00 90.00 90.00
With the nearest neighbours (Å) after each atom.
Space group P4/mbm (No. 127)
Inequivalent atoms, fractional coordinates:
Sr 0.0000 0.0000 0.0000 [2 per cell]  10 O 2.99-3.08
Ac 0.1741 0.3259 0.5000 [4 per cell]  4 O 2.41-2.62
Pd 0.0000 0.5000 0.0000 [2 per cell]  4 O 2.03
O 0.0000 0.0000 0.5000 [2 per cell]  4 Ac 2.62
O 0.1437 0.6437 0.2382 [8 per cell]  1 Pd 2.03

Results
Energy relative to the elements, uncorrected ... -2.52 eV/atom
Density of states at the Fermi level ... 0.00 states/eV per atom


Record 20
DFT (PBE) results for BaLiPrPb after structural relaxation.

abc: 8.1705 8.1705 8.1705
angles: 90.00 90.00 90.00
With the nearest neighbours (Å) after each atom.
Space group F-43m (No. 216)
Inequivalent atoms, fractional coordinates:
Ba 0.0000 0.0000 0.0000 [4 per cell]  4 Pb 3.54, 4 Li 3.54
Li 0.2500 0.2500 0.7500 [4 per cell]  4 Ba 3.54, 4 Pr 3.54
Pr 0.0000 0.0000 0.5000 [4 per cell]  4 Li 3.54, 4 Pb 3.54
Pb 0.2500 0.2500 0.2500 [4 per cell]  4 Ba 3.54, 4 Pr 3.54

Results
Calculated formation energy ... -256.9 meV/atom
Density of states at the Fermi level ... 0.65 states/eV per atom


no.,calculated total energy (eV/cell)
1,-66.86
2,-34.39
3,-15.43
4,-33.96
5,-171.12
6,-112.73
7,-49.33
8,-85.14
9,-61.71
10,-124.83
11,-81.30
12,-135.21
13,-933.52
14,-98.72
15,-20.79
16,-38.00
17,-37.75
18,-22.99
19,-125.20
20,-53.41